[1]
Here is a relaxed AlPNO2 crystal from Alexandria. Energies are from PBE-GGA.

Computed properties:
- energy (eV/atom) = -4.71
- formation energy from raw total energies (eV per atom) = 0.770
- size of the total moment (μB per atom) = 0.00

```
data_AlPNO2
_chemical_formula_sum 'Al1 P1 N1 O2'
_cell_length_a 3.7870
_cell_length_b 3.7870
_cell_length_c 3.6576
_cell_angle_alpha 90.00
_cell_angle_beta 90.00
_cell_angle_gamma 90.00
_space_group_name_H-M_alt 'P 4/m m m'
_space_group_IT_number 123
_space_group_name_Hall '-P 4 2'
loop_
_atom_site_label
_atom_site_fract_x
_atom_site_fract_y
_atom_site_fract_z
_atom_site_occupancy
Al1 0.0000 0.0000 0.0000 1
P1 0.5000 0.5000 0.0000 1
N1 0.5000 0.5000 0.5000 1
O1 0.0000 0.5000 0.5000 1
```

[2]
Here is a relaxed AlPNO2 crystal from Alexandria. Energies are from PBE-GGA.

Computed properties:
- energy (eV/atom) = -5.51
- formation energy from raw total energies (eV per atom) = -0.033
- size of the total moment (μB per atom) = 0.18

```
data_AlPNO2
_chemical_formula_sum 'Al1 P1 N1 O2'
_cell_length_a 3.3823
_cell_length_b 3.3823
_cell_length_c 7.1586
_cell_angle_alpha 90.00
_cell_angle_beta 90.00
_cell_angle_gamma 90.00
_space_group_name_H-M_alt 'P 4/m m m'
_space_group_IT_number 123
_space_group_name_Hall '-P 4 2'
loop_
_atom_site_label
_atom_site_fract_x
_atom_site_fract_y
_atom_site_fract_z
_atom_site_occupancy
Al1 0.0000 0.0000 0.0000 1
P1 0.0000 0.0000 0.5000 1
N1 0.5000 0.5000 0.5000 1
O1 0.0000 0.5000 0.0000 1
```

[3]
Here is a relaxed Pa3AlN2O6 crystal from Alexandria. Energies are from PBE-GGA.

Computed properties:
- energy (eV/atom) = -9.28
- formation energy from raw total energies (eV per atom) = -2.725
- size of the total moment (μB per atom) = 0.00

```
data_Pa3AlN2O6
_chemical_formula_sum 'Pa6 Al2 N4 O12'
_cell_length_a 10.8295
_cell_length_b 6.8952
_cell_length_c 4.6686
_cell_angle_alpha 90.00
_cell_angle_beta 91.23
_cell_angle_gamma 90.00
_space_group_name_H-M_alt 'C 1 2/m 1'
_space_group_IT_number 12
_space_group_name_Hall '-C 2y'
loop_
_atom_site_label
_atom_site_fract_x
_atom_site_fract_y
_atom_site_fract_z
_atom_site_occupancy
Pa1 0.0000 0.0000 0.0000 1
Pa2 0.2500 0.2500 0.5000 1
Al1 0.0000 0.5000 0.5000 1
N1 0.1685 0.0000 0.2585 1
O1 0.0766 0.2593 0.7364 1
O2 0.1474 0.5000 0.3125 1
```

[4]
Here is a relaxed AlPbNO2 crystal from Alexandria. Energies are from PBE-GGA.

Computed properties:
- energy (eV/atom) = -4.60
- formation energy from raw total energies (eV per atom) = 0.542
- size of the total moment (μB per atom) = 0.00

```
data_AlPbNO2
_chemical_formula_sum 'Al1 Pb1 N1 O2'
_cell_length_a 4.1469
_cell_length_b 4.1469
_cell_length_c 4.3917
_cell_angle_alpha 90.00
_cell_angle_beta 90.00
_cell_angle_gamma 90.00
_space_group_name_H-M_alt 'P 4/m m m'
_space_group_IT_number 123
_space_group_name_Hall '-P 4 2'
loop_
_atom_site_label
_atom_site_fract_x
_atom_site_fract_y
_atom_site_fract_z
_atom_site_occupancy
Al1 0.0000 0.0000 0.0000 1
Pb1 0.5000 0.5000 0.5000 1
N1 0.5000 0.5000 0.0000 1
O1 0.0000 0.5000 0.5000 1
```

[5]
Here is a relaxed AlPbNO2 crystal from Alexandria. Energies are from PBE-GGA.

Computed properties:
- energy (eV/atom) = -6.02
- formation energy from raw total energies (eV per atom) = -0.884
- size of the total moment (μB per atom) = 0.13

```
data_AlPbNO2
_chemical_formula_sum 'Al1 Pb1 N1 O2'
_cell_length_a 3.6984
_cell_length_b 3.6984
_cell_length_c 4.1956
_cell_angle_alpha 90.00
_cell_angle_beta 90.00
_cell_angle_gamma 90.00
_space_group_name_H-M_alt 'P 4/m m m'
_space_group_IT_number 123
_space_group_name_Hall '-P 4 2'
loop_
_atom_site_label
_atom_site_fract_x
_atom_site_fract_y
_atom_site_fract_z
_atom_site_occupancy
Al1 0.0000 0.0000 0.0000 1
Pb1 0.5000 0.5000 0.5000 1
N1 0.0000 0.0000 0.5000 1
O1 0.0000 0.5000 0.0000 1
```

[6]
Here is a relaxed AlPb2NO crystal from Alexandria. Energies are from PBE-GGA.

Computed properties:
- energy (eV/atom) = -4.50
- formation energy from raw total energies (eV per atom) = 0.389
- size of the total moment (μB per atom) = 0.00

```
data_AlPb2NO
_chemical_formula_sum 'Al1 Pb2 N1 O1'
_cell_length_a 5.4920
_cell_length_b 5.4920
_cell_length_c 3.5970
_cell_angle_alpha 90.00
_cell_angle_beta 90.00
_cell_angle_gamma 90.00
_space_group_name_H-M_alt 'P 4/m m m'
_space_group_IT_number 123
_space_group_name_Hall '-P 4 2'
loop_
_atom_site_label
_atom_site_fract_x
_atom_site_fract_y
_atom_site_fract_z
_atom_site_occupancy
Al1 0.0000 0.0000 0.0000 1
Pb1 0.0000 0.5000 0.0000 1
N1 0.0000 0.0000 0.5000 1
O1 0.5000 0.5000 0.5000 1
```

[7]
Here is a relaxed AlPdN2O crystal from Alexandria. Energies are from PBE-GGA.

Computed properties:
- energy (eV/atom) = -5.70
- formation energy from raw total energies (eV per atom) = 0.410
- size of the total moment (μB per atom) = 0.00

```
data_AlPdN2O
_chemical_formula_sum 'Al1 Pd1 N2 O1'
_cell_length_a 3.8149
_cell_length_b 3.8149
_cell_length_c 3.5861
_cell_angle_alpha 90.00
_cell_angle_beta 90.00
_cell_angle_gamma 90.00
_space_group_name_H-M_alt 'P 4/m m m'
_space_group_IT_number 123
_space_group_name_Hall '-P 4 2'
loop_
_atom_site_label
_atom_site_fract_x
_atom_site_fract_y
_atom_site_fract_z
_atom_site_occupancy
Al1 0.0000 0.0000 0.0000 1
Pd1 0.5000 0.5000 0.5000 1
N1 0.0000 0.5000 0.0000 1
O1 0.0000 0.0000 0.5000 1
```

[8]
Here is a relaxed AlPdN2O crystal from Alexandria. Energies are from PBE-GGA.

Computed properties:
- energy (eV/atom) = -4.95
- formation energy from raw total energies (eV per atom) = 1.157
- size of the total moment (μB per atom) = 0.32

```
data_AlPdN2O
_chemical_formula_sum 'Al1 Pd1 N2 O1'
_cell_length_a 3.8939
_cell_length_b 3.8939
_cell_length_c 4.0740
_cell_angle_alpha 90.00
_cell_angle_beta 90.00
_cell_angle_gamma 90.00
_space_group_name_H-M_alt 'P 4/m m m'
_space_group_IT_number 123
_space_group_name_Hall '-P 4 2'
loop_
_atom_site_label
_atom_site_fract_x
_atom_site_fract_y
_atom_site_fract_z
_atom_site_occupancy
Al1 0.0000 0.0000 0.0000 1
Pd1 0.5000 0.5000 0.5000 1
N1 0.0000 0.5000 0.5000 1
O1 0.5000 0.5000 0.0000 1
```